Entry 1:
Ca2SbH2 | PBE-GGA | relaxed

Values from the calculation:
D(E_F): 0.68 states/eV/f.u.
calculated volume: 18.91 A^3/atom
ΔE to the lowest computed polymorph: 0 meV/atom

```
data_Ca2SbH2
_symmetry_space_group_name_H-M 'I 4/m m m'
_symmetry_Int_Tables_number 139
_symmetry_space_group_name_Hall '-I 4 2'
_cell_length_a 3.7893
_cell_length_b 3.7893
_cell_length_c 13.1695
_cell_angle_alpha 90.00
_cell_angle_beta 90.00
_cell_angle_gamma 90.00
loop_
_atom_site_label
_atom_site_type_symbol
_atom_site_fract_x
_atom_site_fract_y
_atom_site_fract_z
_atom_site_occupancy
Ca1 Ca 0.0000 0.0000 0.1537 1
Sb1 Sb 0.0000 0.0000 0.5000 1
H1 H 0.0000 0.5000 0.2500 1
```

Entry 2:
K3SiS4 | PBE-GGA | relaxed

Values from the calculation:
formation energy from raw total energies: -7.98 eV per formula unit
D(E_F): 0.44 states/eV/f.u.
calculated volume: 29.62 A^3/atom
ΔE to the lowest computed polymorph: 0 meV/atom

```
data_K3SiS4
_symmetry_space_group_name_H-M 'I m m 2'
_symmetry_Int_Tables_number 44
_cell_length_a 5.6208
_cell_length_b 12.5804
_cell_length_c 6.7019
_cell_angle_alpha 90.00
_cell_angle_beta 90.00
_cell_angle_gamma 90.00
loop_
_symmetry_equiv_pos_as_xyz
'x,y,z'
'-x,-y,z'
'-x,y,z'
'x,-y,z'
'x+1/2,y+1/2,z+1/2'
'-x+1/2,-y+1/2,z+1/2'
'-x+1/2,y+1/2,z+1/2'
'x+1/2,-y+1/2,z+1/2'
loop_
_atom_site_label
_atom_site_type_symbol
_atom_site_fract_x
_atom_site_fract_y
_atom_site_fract_z
_atom_site_occupancy
K1 K 0.0000 0.0000 0.0000 1
K2 K 0.0000 0.2866 0.8005 1
Si1 Si 0.0000 0.5000 0.1715 1
S1 S 0.0000 0.3583 0.3434 1
S2 S 0.2337 0.0000 0.4437 1
```

Entry 3:
Nb2ZnCu | PBE-GGA | relaxed

Values from the calculation:
D(E_F): 3.13 states/eV/f.u.
calculated volume: 16.82 A^3/atom
ΔH_f (0 K): 39.36 kJ per mole of atoms

```
data_Nb2ZnCu
_symmetry_space_group_name_H-M 'I -4 2 d'
_symmetry_Int_Tables_number 122
_symmetry_space_group_name_Hall 'I -4 2bw'
_cell_length_a 7.2352
_cell_length_b 7.2352
_cell_length_c 5.1414
_cell_angle_alpha 90.00
_cell_angle_beta 90.00
_cell_angle_gamma 90.00
loop_
_atom_site_label
_atom_site_type_symbol
_atom_site_fract_x
_atom_site_fract_y
_atom_site_fract_z
_atom_site_occupancy
Nb1 Nb 0.2422 0.2500 0.1250 1
Zn1 Zn 0.0000 0.0000 0.5000 1
Cu1 Cu 0.0000 0.0000 0.0000 1
```

Entry 4:
CrNi5Sb | PBE-GGA | relaxed

Values from the calculation:
formation energy from raw total energies: 1.23 eV per formula unit
D(E_F): 7.36 states/eV/f.u.
calculated volume: 13.15 A^3/atom

```
data_CrNi5Sb
_symmetry_space_group_name_H-M 'P 4/m m m'
_symmetry_Int_Tables_number 123
_symmetry_space_group_name_Hall '-P 4 2'
_cell_length_a 3.9196
_cell_length_b 3.9196
_cell_length_c 5.9907
_cell_angle_alpha 90.00
_cell_angle_beta 90.00
_cell_angle_gamma 90.00
loop_
_atom_site_label
_atom_site_type_symbol
_atom_site_fract_x
_atom_site_fract_y
_atom_site_fract_z
_atom_site_occupancy
Cr1 Cr 0.0000 0.0000 0.0000 1
Ni1 Ni 0.0000 0.0000 0.5000 1
Ni2 Ni 0.0000 0.5000 0.2157 1
Sb1 Sb 0.5000 0.5000 0.5000 1
```

Entry 5:
Ti6Al2Sn | PBE-GGA | relaxed

Values from the calculation:
D(E_F): 12.02 states/eV/f.u.
calculated volume: 17.95 A^3/atom
ΔE to the lowest computed polymorph: 0 meV/atom
ΔH_f (0 K): -14.77 kJ per mole of atoms

```
data_Ti6Al2Sn
_symmetry_space_group_name_H-M 'I m m m'
_symmetry_Int_Tables_number 71
_symmetry_space_group_name_Hall '-I 2 2'
_cell_length_a 8.1010
_cell_length_b 8.2668
_cell_length_c 9.6471
_cell_angle_alpha 90.00
_cell_angle_beta 90.00
_cell_angle_gamma 90.00
loop_
_atom_site_label
_atom_site_type_symbol
_atom_site_fract_x
_atom_site_fract_y
_atom_site_fract_z
_atom_site_occupancy
Ti1 Ti 0.0000 0.2179 0.1777 1
Ti2 Ti 0.1997 0.5000 0.2489 1
Ti3 Ti 0.2077 0.2029 0.5000 1
Al1 Al 0.0000 0.0000 0.3708 1
Al2 Al 0.1552 0.0000 0.0000 1
Sn1 Sn 0.0000 0.5000 0.0000 1
Sn2 Sn 0.0000 0.5000 0.5000 1
```

Entry 6:
Cr2HgMoAu | PBE-GGA | relaxed

Values from the calculation:
D(E_F): 3.68 states/eV/f.u.
calculated volume: 22.15 A^3/atom
ΔE to the lowest computed polymorph: 0 meV/atom
ΔH_f (0 K): 118.03 kJ per mole of atoms

```
data_Cr2HgMoAu
_symmetry_space_group_name_H-M 'P 4/m m m'
_symmetry_Int_Tables_number 123
_symmetry_space_group_name_Hall '-P 4 2'
_cell_length_a 4.6156
_cell_length_b 4.6156
_cell_length_c 5.1988
_cell_angle_alpha 90.00
_cell_angle_beta 90.00
_cell_angle_gamma 90.00
loop_
_atom_site_label
_atom_site_type_symbol
_atom_site_fract_x
_atom_site_fract_y
_atom_site_fract_z
_atom_site_occupancy
Cr1 Cr 0.0000 0.5000 0.0000 1
Hg1 Hg 0.0000 0.0000 0.5000 1
Mo1 Mo 0.5000 0.5000 0.0000 1
Au1 Au 0.5000 0.5000 0.5000 1
```